a:
VASP calculation (PBE-GGA) on a relaxed structure of CuMoOs2.

abc: 2.7386 2.7386 7.6409
angles: 90.00 90.00 90.00
Space group P4mm (No. 99)
Inequivalent atoms, fractional coordinates:
Cu (0.0000, 0.0000, 0.0000) x1
Mo (0.5000, 0.5000, 0.2443) x1
Os (0.0000, 0.0000, 0.5242) x1
Os (0.5000, 0.5000, 0.7549) x1

Volume (A^3/atom): 14.33

=====

b:
VASP calculation (PBE-GGA) on a relaxed structure of CuMoOs2.

abc: 6.1231 6.1231 6.1231
angles: 90.00 90.00 90.00
Space group Fm-3m (No. 225)
Inequivalent atoms, fractional coordinates:
Cu (0.0000, 0.0000, 0.0000) x4
Mo (0.0000, 0.0000, 0.5000) x4
Os (0.2500, 0.2500, 0.2500) x8

Volume (A^3/atom): 14.35

=====

c:
VASP calculation (PBE-GGA) on a relaxed structure of CuMoOs2.

abc: 2.6746 4.4071 4.9071
angles: 90.00 95.08 90.00
Space group P2/m (No. 10)
Inequivalent atoms, fractional coordinates:
Cu (0.0000, 0.0000, 0.0000) x1
Mo (0.5000, 0.0000, 0.5000) x1
Os (0.2231, 0.5000, 0.7687) x2

Volume (A^3/atom): 14.40

=====

d:
VASP calculation (PBE-GGA) on a relaxed structure of CuMoOs2.

abc: 2.8672 4.5132 9.0176
angles: 90.00 90.00 90.00
Space group Cmmm (No. 65)
Inequivalent atoms, fractional coordinates:
Cu (0.0000, 0.0000, 0.0000) x2
Mo (0.0000, 0.0000, 0.5000) x2
Os (0.0000, 0.5000, 0.2478) x4

Volume (A^3/atom): 14.59

=====

Energies relative to the minimum, eV/atom: a 0.000; b 0.089; c 0.119; d 0.195

=====

a:
VASP calculation (PBE-GGA) on a relaxed structure of CuMoOs2.

abc: 2.8331 4.5092 9.1699
angles: 90.00 90.00 90.00
Space group Cmm2 (No. 35)
Inequivalent atoms, fractional coordinates:
Cu (0.0000, 0.0000, 0.0000) x2
Mo (0.0000, 0.5000, 0.2498) x2
Os (0.0000, 0.0000, 0.5008) x2
Os (0.0000, 0.5000, 0.7538) x2

Volume (A^3/atom): 14.64

=====

b:
VASP calculation (PBE-GGA) on a relaxed structure of CuMoOs2.

abc: 6.1338 6.1338 6.1338
angles: 90.00 90.00 90.00
Space group F-43m (No. 216)
Inequivalent atoms, fractional coordinates:
Cu (0.0000, 0.0000, 0.0000) x4
Mo (0.2500, 0.2500, 0.7500) x4
Os (0.0000, 0.0000, 0.5000) x4
Os (0.2500, 0.2500, 0.2500) x4

Volume (A^3/atom): 14.42

=====

c:
VASP calculation (PBE-GGA) on a relaxed structure of CuMoOs2.

abc: 3.7683 3.7683 8.0099
angles: 90.00 90.00 90.00
Space group I-4m2 (No. 119)
Inequivalent atoms, fractional coordinates:
Cu (0.0000, 0.0000, 0.0000) x2
Mo (0.0000, 0.5000, 0.2500) x2
Os (0.0000, 0.0000, 0.5000) x2
Os (0.0000, 0.5000, 0.7500) x2

Volume (A^3/atom): 14.22

=====

Energies relative to the minimum, eV/atom: a 0.221; b 0.179; c 0.000

=====

a:
VASP calculation (PBE-GGA) on a relaxed structure of CuMoOs2.

abc: 2.7895 4.5085 4.5982
angles: 90.00 90.00 90.00
Space group Pmmm (No. 47)
Inequivalent atoms, fractional coordinates:
Cu (0.0000, 0.0000, 0.0000) x1
Mo (0.5000, 0.0000, 0.5000) x1
Os (0.0000, 0.5000, 0.5000) x1
Os (0.5000, 0.5000, 0.0000) x1

Volume (A^3/atom): 14.46

=====

b:
VASP calculation (PBE-GGA) on a relaxed structure of CuMoOs2.

abc: 3.1412 3.1412 5.7690
angles: 90.00 90.00 90.00
Space group P4/mmm (No. 123)
Inequivalent atoms, fractional coordinates:
Cu (0.0000, 0.0000, 0.0000) x1
Mo (0.0000, 0.0000, 0.5000) x1
Os (0.5000, 0.5000, 0.2354) x2

Volume (A^3/atom): 14.23

=====

Energies relative to the minimum, eV/atom: a 0.187; b 0.000

=====

a:
VASP calculation (PBE-GGA) on a relaxed structure of CuMoOs2.

abc: 3.8863 3.8863 7.5544
angles: 90.00 90.00 90.00
Space group I4/mmm (No. 139)
Inequivalent atoms, fractional coordinates:
Cu (0.0000, 0.0000, 0.0000) x2
Mo (0.0000, 0.0000, 0.5000) x2
Os (0.0000, 0.5000, 0.2500) x4

Volume (A^3/atom): 14.26

=====

b:
VASP calculation (PBE-GGA) on a relaxed structure of CuMoOs2.

abc: 8.8909 2.7299 4.7834
angles: 90.00 99.55 90.00
Space group C2/m (No. 12)
Inequivalent atoms, fractional coordinates:
Cu (0.0000, 0.0000, 0.0000) x2
Mo (0.0000, 0.5000, 0.5000) x2
Os (0.2475, 0.0000, 0.7611) x4

Volume (A^3/atom): 14.31

=====

Energies relative to the minimum, eV/atom: a 0.011; b 0.000

=====

a:
VASP calculation (PBE-GGA) on a relaxed structure of Pa2CuMo.

abc: 4.8931 4.8931 3.4369
angles: 90.00 90.00 90.00
Space group P4/mmm (No. 123)
Inequivalent atoms, fractional coordinates:
Pa (0.0000, 0.5000, 0.0000) x2
Cu (0.0000, 0.0000, 0.5000) x1
Mo (0.5000, 0.5000, 0.5000) x1

Volume (A^3/atom): 20.57

=====

b:
VASP calculation (PBE-GGA) on a relaxed structure of Pa2CuMo.

abc: 6.9065 6.9065 6.9065
angles: 90.00 90.00 90.00
Space group Fm-3m (No. 225)
Inequivalent atoms, fractional coordinates:
Pa (0.2500, 0.2500, 0.2500) x8
Cu (0.0000, 0.0000, 0.0000) x4
Mo (0.0000, 0.0000, 0.5000) x4

Volume (A^3/atom): 20.59

=====

Energies relative to the minimum, eV/atom: a 0.000; b 0.021

=====

a:
VASP calculation (PBE-GGA) on a relaxed structure of CuMoPd4.

abc: 2.7587 3.9625 8.1752
angles: 90.00 90.00 90.00
Space group Pmmm (No. 47)
Inequivalent atoms, fractional coordinates:
Cu (0.0000, 0.0000, 0.0000) x1
Mo (0.5000, 0.5000, 0.5000) x1
Pd (0.0000, 0.0000, 0.3337) x2
Pd (0.5000, 0.5000, 0.1661) x2

Volume (A^3/atom): 14.89

=====

b:
VASP calculation (PBE-GGA) on a relaxed structure of CuMoPd4.

abc: 4.7327 8.3593 4.7389
angles: 90.00 108.21 90.00
Space group C2/m (No. 12)
Inequivalent atoms, fractional coordinates:
Cu (0.0000, 0.0000, 0.0000) x2
Mo (0.0000, 0.5000, 0.5000) x2
Pd (0.0000, 0.1627, 0.5000) x4
Pd (0.0000, 0.3386, 0.0000) x4

Volume (A^3/atom): 14.84

=====

Energies relative to the minimum, eV/atom: a 0.000; b 0.044

=====

a:
VASP calculation (PBE-GGA) on a relaxed structure of Cu2MoPd2.

abc: 7.1461 7.1461 2.7935
angles: 90.00 90.00 90.00
Space group P4/mbm (No. 127)
Inequivalent atoms, fractional coordinates:
Cu (0.1205, 0.3795, 0.0000) x4
Mo (0.0000, 0.0000, 0.0000) x2
Pd (0.1777, 0.6777, 0.5000) x4

Volume (A^3/atom): 14.27

=====

b:
VASP calculation (PBE-GGA) on a relaxed structure of Cu2MoPd2.

abc: 2.7451 19.4508 2.7334
angles: 90.00 90.00 90.00
Space group Cmmm (No. 65)
Inequivalent atoms, fractional coordinates:
Cu (0.0000, 0.1976, 0.0000) x4
Mo (0.0000, 0.0000, 0.0000) x2
Pd (0.0000, 0.3982, 0.5000) x4

Volume (A^3/atom): 14.59

=====

Energies relative to the minimum, eV/atom: a 0.144; b 0.000

=====

a:
VASP calculation (PBE-GGA) on a relaxed structure of CuMo3Pd.

abc: 4.7137 4.7137 4.7137
angles: 90.00 90.00 90.00
Space group Pm-3m (No. 221)
Inequivalent atoms, fractional coordinates:
Cu (0.0000, 0.0000, 0.0000) x1
Mo (0.0000, 0.5000, 0.5000) x3
Pd (0.5000, 0.5000, 0.5000) x1

Volume (A^3/atom): 20.95

=====

b:
VASP calculation (PBE-GGA) on a relaxed structure of CuMo3Pd.

abc: 4.4803 4.4803 4.4803
angles: 90.00 90.00 90.00
Space group Pm-3m (No. 221)
Inequivalent atoms, fractional coordinates:
Cu (0.0000, 0.0000, 0.0000) x1
Mo (0.0000, 0.0000, 0.5000) x3
Pd (0.5000, 0.5000, 0.5000) x1

Volume (A^3/atom): 17.99

=====

Energies relative to the minimum, eV/atom: a 0.575; b 0.000

=====

a:
VASP calculation (PBE-GGA) on a relaxed structure of CuMoPd3.

abc: 4.5408 4.5408 4.5408
angles: 90.00 90.00 90.00
Space group Pm-3m (No. 221)
Inequivalent atoms, fractional coordinates:
Cu (0.0000, 0.0000, 0.0000) x1
Mo (0.5000, 0.5000, 0.5000) x1
Pd (0.0000, 0.0000, 0.5000) x3

Volume (A^3/atom): 18.73

=====

b:
VASP calculation (PBE-GGA) on a relaxed structure of CuMoPd3.

abc: 2.6926 14.1676 8.6897
angles: 90.00 90.00 90.00
Space group Cmcm (No. 63)
Inequivalent atoms, fractional coordinates:
Cu (0.0000, 0.2390, 0.2500) x4
Mo (0.0000, 0.0000, 0.0000) x4
Pd (0.0000, 0.0945, 0.7500) x4
Pd (0.0000, 0.3367, 0.5235) x8

Volume (A^3/atom): 16.57

=====

Energies relative to the minimum, eV/atom: a 0.784; b 0.000

=====

a:
VASP calculation (PBE-GGA) on a relaxed structure of Cu2MoPd.

abc: 6.8326 6.8326 5.1715
angles: 90.00 90.00 90.00
Space group I-42d (No. 122)
Inequivalent atoms, fractional coordinates:
Cu (0.2492, 0.2500, 0.1250) x8
Mo (0.0000, 0.0000, 0.0000) x4
Pd (0.0000, 0.0000, 0.5000) x4

Volume (A^3/atom): 15.09

=====

b:
VASP calculation (PBE-GGA) on a relaxed structure of Cu2MoPd.

abc: 6.0294 6.0294 6.0294
angles: 90.00 90.00 90.00
Space group Fm-3m (No. 225)
Inequivalent atoms, fractional coordinates:
Cu (0.2500, 0.2500, 0.2500) x8
Mo (0.0000, 0.0000, 0.0000) x4
Pd (0.0000, 0.0000, 0.5000) x4

Volume (A^3/atom): 13.70

=====

Energies relative to the minimum, eV/atom: a 0.457; b 0.000

=====

a:
VASP calculation (PBE-GGA) on a relaxed structure of CuMoPt.

abc: 2.7676 2.7676 6.6677
angles: 90.00 90.00 120.00
Space group P3m1 (No. 156)
Inequivalent atoms, fractional coordinates:
Cu (0.0000, 0.0000, 0.0000) x1
Mo (0.6667, 0.3333, 0.3309) x1
Pt (0.3333, 0.6667, 0.6689) x1

Volume (A^3/atom): 14.74

=====

b:
VASP calculation (PBE-GGA) on a relaxed structure of CuMoPt.

abc: 2.6554 4.9766 14.0514
angles: 90.00 90.00 90.00
Space group Immm (No. 71)
Inequivalent atoms, fractional coordinates:
Cu (0.0000, 0.0000, 0.1462) x4
Mo (0.0000, 0.2510, 0.5000) x4
Pt (0.0000, 0.0000, 0.3314) x4

Volume (A^3/atom): 15.47

=====

Energies relative to the minimum, eV/atom: a 0.000; b 0.172

=====

a:
VASP calculation (PBE-GGA) on a relaxed structure of CuMo2Pt2.

abc: 7.7509 7.7509 2.7311
angles: 90.00 90.00 90.00
Space group P4/mbm (No. 127)
Inequivalent atoms, fractional coordinates:
Cu (0.0000, 0.0000, 0.0000) x2
Mo (0.1735, 0.3265, 0.5000) x4
Pt (0.1240, 0.6240, 0.0000) x4

Volume (A^3/atom): 16.41

=====

b:
VASP calculation (PBE-GGA) on a relaxed structure of CuMo2Pt2.

abc: 3.5814 3.5814 13.2427
angles: 90.00 90.00 90.00
Space group I4/mmm (No. 139)
Inequivalent atoms, fractional coordinates:
Cu (0.0000, 0.0000, 0.0000) x2
Mo (0.0000, 0.5000, 0.2500) x4
Pt (0.0000, 0.0000, 0.4028) x4

Volume (A^3/atom): 16.99

=====

Energies relative to the minimum, eV/atom: a 0.000; b 0.156